[1]
RbTlMoF6 | PBE+U | optimized geometry

Cell: 6.846 6.846 8.794 Å, 90.00 90.00 120.00°
Sites, in units of the cell vectors:
Rb 0.333 0.667 0.250
Rb 0.667 0.333 0.750
Tl 0.000 0.000 0.000
Tl 0.000 0.000 0.500
Mo 0.333 0.667 0.750
Mo 0.667 0.333 0.250
F 0.091 0.418 0.625
F 0.091 0.673 0.875
F 0.327 0.418 0.875
F 0.327 0.909 0.625
F 0.418 0.091 0.125
F 0.418 0.327 0.375
F 0.582 0.673 0.625
F 0.582 0.909 0.875
F 0.673 0.091 0.375
F 0.673 0.582 0.125
F 0.909 0.327 0.125
F 0.909 0.582 0.375

Computed properties:
The calculation puts the density of states at the Fermi level at 0.696 states/eV per atom. As for the space group: P-31c, No. 163. For the calculated total energy, the calculation gives -4.8468 eV per atom.


[2]
Rb2Tl2MoF6 | PBE+U | optimized geometry

Cell: 6.779 6.779 6.780 Å, 98.78 98.78 118.02°
Sites, in units of the cell vectors:
Rb 0.155 0.845 0.000
Rb 0.845 0.155 0.000
Tl 0.342 0.658 0.500
Tl 0.658 0.342 0.500
Mo 0.500 0.500 0.000
F 0.183 0.458 0.821
F 0.284 0.284 0.285
F 0.458 0.183 0.821
F 0.542 0.817 0.179
F 0.716 0.716 0.715
F 0.817 0.542 0.179

Computed properties:
The calculation puts the density of states at the Fermi level at 0.000 states/eV per atom. As for the space group: C2/m, No. 12. For the calculated total energy, the calculation gives -4.4285 eV per atom.


[3]
RbTl2MoF8 | PBE+U | optimized geometry

Cell: 4.875 8.355 6.621 Å, 90.00 95.53 90.00°
Sites, in units of the cell vectors:
Rb 0.000 0.000 0.000
Tl 0.500 0.232 0.500
Tl 0.500 0.768 0.500
Mo 0.000 0.500 0.000
F 0.107 0.330 0.822
F 0.107 0.670 0.822
F 0.344 0.500 0.160
F 0.483 0.000 0.270
F 0.517 0.000 0.730
F 0.656 0.500 0.840
F 0.893 0.330 0.178
F 0.893 0.670 0.178

Computed properties:
As for the space group: P2/m, No. 10. For the calculated total energy, the calculation gives -4.6220 eV per atom.


[4]
Rb2TlMoF8 | PBE+U | optimized geometry

Cell: 7.400 7.400 7.400 Å, 131.14 131.14 71.59°
Sites, in units of the cell vectors:
Rb 0.000 0.000 0.000
Rb 0.750 0.250 0.500
Tl 0.500 0.500 0.000
Mo 0.250 0.750 0.500
F 0.156 0.044 0.500
F 0.156 0.657 0.112
F 0.343 0.456 0.500
F 0.343 0.844 0.888
F 0.544 0.044 0.888
F 0.544 0.657 0.500
F 0.956 0.456 0.112
F 0.956 0.844 0.500

Computed properties:
The calculation puts the density of states at the Fermi level at 0.000 states/eV per atom. As for the space group: I-4m2, No. 119. For the calculated total energy, the calculation gives -4.6152 eV per atom.


[5]
Rb2VMoF6 | PBE+U | optimized geometry

Cell: 6.134 6.134 6.134 Å, 119.35 119.35 91.14°
Sites, in units of the cell vectors:
Rb 0.250 0.750 0.500
Rb 0.750 0.250 0.500
V 0.000 0.000 0.000
Mo 0.500 0.500 0.000
F 0.242 0.242 0.483
F 0.242 0.758 0.000
F 0.248 0.248 0.000
F 0.752 0.752 0.000
F 0.758 0.242 0.000
F 0.758 0.758 0.517

Computed properties:
The calculation puts the density of states at the Fermi level at 0.000 states/eV per atom. As for the space group: I4/mmm, No. 139. For the calculated total energy, the calculation gives -5.2359 eV per atom.


[6]
Rb2V3MoF12 | PBE+U | optimized geometry

Cell: 7.643 7.643 7.643 Å, 59.48 59.48 59.48°
Sites, in units of the cell vectors:
Rb 0.119 0.119 0.119
Rb 0.881 0.881 0.881
V 0.000 0.500 0.500
V 0.500 0.000 0.500
V 0.500 0.500 0.000
Mo 0.500 0.500 0.500
F 0.169 0.579 0.579
F 0.181 0.181 0.571
F 0.181 0.571 0.181
F 0.421 0.421 0.831
F 0.421 0.831 0.421
F 0.429 0.819 0.819
F 0.571 0.181 0.181
F 0.579 0.169 0.579
F 0.579 0.579 0.169
F 0.819 0.429 0.819
F 0.819 0.819 0.429
F 0.831 0.421 0.421

Computed properties:
The calculation puts the density of states at the Fermi level at 0.182 states/eV per atom. As for the space group: R-3m, No. 166. For the calculated total energy, the calculation gives -5.7608 eV per atom.


[7]
Rb2MoWF6 | PBE+U | optimized geometry

Cell: 6.584 6.584 6.584 Å, 120.62 120.62 88.92°
Sites, in units of the cell vectors:
Rb 0.250 0.750 0.500
Rb 0.750 0.250 0.500
Mo 0.000 0.000 0.000
W 0.500 0.500 0.000
F 0.270 0.270 0.540
F 0.270 0.730 0.000
F 0.274 0.274 0.000
F 0.726 0.726 0.000
F 0.730 0.270 0.000
F 0.730 0.730 0.460

Computed properties:
The calculation puts the density of states at the Fermi level at 0.072 states/eV per atom. As for the space group: I4/mmm, No. 139. For the calculated total energy, the calculation gives -4.9770 eV per atom.


[8]
Rb2YMoF6 | PBE+U | optimized geometry

Cell: 6.633 6.633 6.633 Å, 115.71 115.71 97.60°
Sites, in units of the cell vectors:
Rb 0.250 0.750 0.500
Rb 0.750 0.250 0.500
Y 0.000 0.000 0.000
Mo 0.500 0.500 0.000
F 0.218 0.218 0.436
F 0.218 0.782 0.000
F 0.253 0.253 0.000
F 0.747 0.747 0.000
F 0.782 0.218 0.000
F 0.782 0.782 0.564

Computed properties:
The calculation puts the density of states at the Fermi level at 0.000 states/eV per atom. As for the space group: I4/mmm, No. 139. For the calculated total energy, the calculation gives -5.4730 eV per atom.